(1)
A relaxed Cs2NbInTe crystal, computed with PBE-GGA.

The uncorrected formation energy is 3.3 eV/f.u.

The structure belongs to space group P4/mmm (No. 123); the cell edges are 6.710, 6.710 and 5.305 Å and the angles 90.00°, 90.00° and 90.00°. The distinct sites, in fractional coordinates, are Cs at (0.000, 0.500, 0.000), Nb at (0.000, 0.000, 0.000), In at (0.500, 0.500, 0.500) and Te at (0.000, 0.000, 0.500).

***

(2)
A relaxed Cs2NdInO4 crystal, computed with PBE-GGA.

The uncorrected formation energy is -13.5 eV/f.u.

The structure belongs to space group Fddd (No. 70, origin choice 2); the cell edges are 6.084, 13.691 and 23.262 Å and the angles 90.00°, 90.00° and 90.00°. The distinct sites, in fractional coordinates, are Cs at (0.125, 0.125, 0.313), Nd at (0.125, 0.125, 0.125), In at (0.125, 0.125, 0.625) and O at (0.110, 0.283, 0.835).

***

(3)
A relaxed Cs3Nd2InS6 crystal, computed with PBE-GGA.

The uncorrected formation energy is -17.4 eV/f.u.

The structure belongs to space group C2/m (No. 12); the cell edges are 7.234, 12.525 and 8.444 Å and the angles 90.00°, 106.67° and 90.00°. The distinct sites, in fractional coordinates, are Cs at (0.000, 0.000, 0.000), Cs at (0.000, 0.331, 0.000), Nd at (0.000, 0.166, 0.500), In at (0.000, 0.500, 0.500), S at (0.221, 0.340, 0.683) and S at (0.241, 0.000, 0.685).

***

(4)
A relaxed Cs4Nd3InS8 crystal, computed with PBE-GGA.

The uncorrected formation energy is -24.5 eV/f.u.

The structure belongs to space group R-3m (No. 166, hexagonal axes); the cell edges are 8.3916, 8.3916 and 24.2900 Å and the angles 90.00°, 90.00° and 120.00°. The distinct sites, in fractional coordinates, are Cs at (0.0000, 0.0000, 0.0000), Cs at (0.0000, 0.5000, 0.0000), Nd at (0.0000, 0.5000, 0.5000), In at (0.0000, 0.0000, 0.5000), S at (0.0000, 0.0000, 0.2292) and S at (0.0117, 0.5058, 0.2280).

***

no.,electronic total energy (eV/f.u.)
1,-14.39
2,-42.59
3,-56.99
4,-78.03